Record 1
Compound: MoPtRh2
Source: Alexandria
Functional: PBE-GGA
Structure: optimized geometry

```
MoPtRh2
1.0
3.9252 0.0000 0.0000
0.0000 3.9252 0.0000
0.0000 0.0000 3.8468
Mo Pt Rh
1 1 2
direct
0.0000 0.0000 0.0000
0.5000 0.5000 0.0000
0.0000 0.5000 0.5000
0.5000 0.0000 0.5000
```

## Properties
energy of formation = -0.20 eV per atom
SG = P4/mmm (123)
energy above the lowest structure with this stoichiometry = 56 meV/atom

Record 2
Compound: CePmDy2
Source: Alexandria
Functional: PBE-GGA
Structure: optimized geometry

```
CePmDy2
1.0
1.7798 1.0276 11.5108
-1.7798 1.0276 11.5108
0.0000 -2.0551 11.5108
Ce Pm Dy
1 1 2
direct
0.0000 0.0000 0.0000
0.1659 0.1659 0.1659
0.4143 0.4143 0.4143
0.5855 0.5855 0.5855
```

## Properties
energy of formation = 0.05 eV per atom
SG = R3m (160)
energy above the lowest structure with this stoichiometry = 0 meV/atom

Record 3
Compound: Na2CeReN4
Source: Alexandria
Functional: PBE-GGA
Structure: optimized geometry

```
Na2CeReN4
1.0
7.1339 0.0000 0.0000
0.0000 6.8002 0.0000
0.0000 0.0000 5.6237
Na Ce Re N
4 2 2 8
direct
0.2451 0.1494 0.0000
0.2549 0.8506 0.5000
0.7451 0.8506 0.5000
0.7549 0.1494 0.0000
0.0000 0.3686 0.4994
0.5000 0.6314 0.9994
0.0000 0.6747 0.0216
0.5000 0.3253 0.5216
0.0000 0.4128 0.9312
0.0000 0.6727 0.3466
0.2175 0.7995 0.9256
0.2825 0.2005 0.4256
0.5000 0.3273 0.8466
0.5000 0.5872 0.4312
0.7175 0.2005 0.4256
0.7825 0.7995 0.9256
```

## Properties
SG = Pmn2_1 (31)
formation energy without anion corrections = -583 meV per atom

Record 4
Compound: Mg8Cd6Sn
Source: Alexandria
Functional: PBE-GGA
Structure: optimized geometry

```
Mg8Cd6Sn
1.0
4.2523 2.4550 5.8609
-4.2523 2.4550 5.8609
0.0000 -4.9101 5.8609
Mg Cd Sn
8 6 1
direct
0.0705 0.3801 0.7033
0.1665 0.1665 0.1665
0.2967 0.9295 0.6199
0.3801 0.7033 0.0705
0.6199 0.2967 0.9295
0.7033 0.0705 0.3801
0.8335 0.8335 0.8335
0.9295 0.6199 0.2967
0.0974 0.7913 0.4470
0.2087 0.5530 0.9026
0.4470 0.0974 0.7913
0.5530 0.9026 0.2087
0.7913 0.4470 0.0974
0.9026 0.2087 0.5530
0.5000 0.5000 0.5000
```

## Properties
energy of formation = -0.02 eV per atom
SG = R-3 (148)

Record 5
Compound: Mg2Si
Source: Alexandria
Functional: PBE-GGA
Structure: optimized geometry

```
Mg2Si
1.0
5.4478 0.0000 0.0000
0.0511 6.2176 0.0000
2.5261 0.0795 7.2644
Mg Si
8 4
direct
0.1921 0.1220 0.1253
0.2009 0.6252 0.0831
0.2290 0.1297 0.5153
0.2317 0.6245 0.5526
0.7683 0.3755 0.4474
0.7710 0.8703 0.4847
0.7991 0.3748 0.9169
0.8079 0.8780 0.8747
0.3497 0.9258 0.7912
0.3698 0.3244 0.7859
0.6302 0.6756 0.2141
0.6503 0.0742 0.2088
```

## Properties
SG = P-1 (2)
formation energy without anion corrections = 7 meV per atom

Record 6
Compound: Cs2HfNpO6
Source: Alexandria
Functional: PBE-GGA
Structure: optimized geometry

```
Cs2HfNpO6
1.0
3.1765 1.8340 10.1850
-3.1765 1.8340 10.1850
0.0000 -3.6679 10.1850
Cs Hf Np O
4 2 2 12
direct
0.1304 0.1304 0.1304
0.2792 0.2792 0.2792
0.7208 0.7208 0.7208
0.8696 0.8696 0.8696
0.4014 0.4014 0.4014
0.5986 0.5986 0.5986
0.0000 0.0000 0.0000
0.5000 0.5000 0.5000
0.1809 0.5907 0.5907
0.2027 0.2027 0.7091
0.2027 0.7091 0.2027
0.2909 0.7973 0.7973
0.4093 0.4093 0.8191
0.4093 0.8191 0.4093
0.5907 0.1809 0.5907
0.5907 0.5907 0.1809
0.7091 0.2027 0.2027
0.7973 0.2909 0.7973
0.7973 0.7973 0.2909
0.8191 0.4093 0.4093
```

## Properties
SG = R-3m (166)
formation energy without anion corrections = -2662 meV per atom

Record 7
Compound: Pr4ReN5
Source: Alexandria
Functional: PBE-GGA
Structure: optimized geometry

```
Pr4ReN5
1.0
-3.9055 3.9055 2.6338
3.9055 -3.9055 2.6338
3.9055 3.9055 -2.6338
Pr Re N
4 1 5
direct
0.1054 0.6954 0.8008
0.3046 0.1054 0.4101
0.6954 0.8946 0.5899
0.8946 0.3046 0.1992
0.4298 0.4298 0.0000
0.0759 0.0759 0.0000
0.2344 0.4046 0.6515
0.4046 0.7530 0.1702
0.5828 0.2344 0.8298
0.7530 0.5828 0.3485
```

## Properties
SG = I4 (79)
formation energy without anion corrections = -855 meV per atom

Record 8
Compound: HoBeC
Source: Alexandria
Functional: PBE-GGA
Structure: optimized geometry

```
HoBeC
1.0
3.3475 0.0000 0.0000
-1.6738 2.8991 0.0000
0.0000 0.0000 3.7613
Ho Be C
1 1 1
direct
0.0000 0.0000 0.0000
0.3333 0.6667 0.5000
0.6667 0.3333 0.5000
```

## Properties
energy of formation = -0.28 eV per atom
SG = P-6m2 (187)
energy above the lowest structure with this stoichiometry = 0 meV/atom

Record 9
Compound: KB4
Source: Alexandria
Functional: PBE-GGA
Structure: optimized geometry

```
KB4
1.0
5.0532 0.0000 0.0000
0.0000 5.0532 0.0000
0.0000 0.0000 5.0532
K B
1 4
direct
0.0000 0.0000 0.0000
0.0000 0.0000 0.5000
0.0000 0.5000 0.0000
0.5000 0.0000 0.0000
0.5000 0.5000 0.5000
```

## Properties
energy of formation = 4.16 eV per atom
SG = Pm-3m (221)

Record 10
Compound: Cu7PSe6
Source: Alexandria
Functional: PBE-GGA
Structure: optimized geometry

```
Cu7PSe6
1.0
10.1437 0.0000 0.0000
0.0000 10.1437 0.0000
0.0000 0.0000 10.1437
Cu P Se
28 4 24
direct
0.0003 0.0247 0.7815
0.9997 0.5247 0.7185
0.0247 0.7815 0.0003
0.0715 0.3962 0.2713
0.1038 0.7287 0.5715
0.1520 0.1520 0.1520
0.2185 0.5003 0.4753
0.2287 0.9285 0.8962
0.2713 0.0715 0.3962
0.2815 0.4997 0.9753
0.3480 0.8480 0.6520
0.3962 0.2713 0.0715
0.4285 0.6038 0.7713
0.4753 0.2185 0.5003
0.5003 0.4753 0.2185
0.4997 0.9753 0.2815
0.5247 0.7185 0.9997
0.5715 0.1038 0.7287
0.6038 0.7713 0.4285
0.6520 0.3480 0.8480
0.7185 0.9997 0.5247
0.7287 0.5715 0.1038
0.7713 0.4285 0.6038
0.7815 0.0003 0.0247
0.8480 0.6520 0.3480
0.8962 0.2287 0.9285
0.9285 0.8962 0.2287
0.9753 0.2815 0.4997
0.2426 0.2574 0.7426
0.2574 0.7426 0.2426
0.7426 0.2426 0.2574
0.7574 0.7574 0.7574
0.0191 0.0191 0.0191
0.1047 0.3734 0.8690
0.1266 0.1310 0.6047
0.1282 0.8718 0.3718
0.1310 0.6047 0.1266
0.2185 0.7185 0.7815
0.2815 0.2815 0.2815
0.3690 0.3953 0.6266
0.3718 0.1282 0.8718
0.3734 0.8690 0.1047
0.3953 0.6266 0.3690
0.4809 0.9809 0.5191
0.5191 0.4809 0.9809
0.6047 0.1266 0.1310
0.6266 0.3690 0.3953
0.6282 0.6282 0.6282
0.6310 0.8953 0.8734
0.7185 0.7815 0.2185
0.7815 0.2185 0.7185
0.8690 0.1047 0.3734
0.8718 0.3718 0.1282
0.8734 0.6310 0.8953
0.8953 0.8734 0.6310
0.9809 0.5191 0.4809
```

## Properties
SG = P2_13 (198)
formation energy without anion corrections = -68 meV per atom
energy above the lowest structure with this stoichiometry = 13 meV/atom

Record 11
Compound: ZnTe2
Source: Alexandria
Functional: PBE-GGA
Structure: optimized geometry

```
ZnTe2
1.0
-1.8634 1.8634 11.5309
1.8634 -1.8634 11.5309
1.8634 1.8634 -11.5309
Zn Te
2 4
direct
0.3750 0.6250 0.7500
0.6250 0.3750 0.2500
0.0573 0.8073 0.2500
0.1927 0.9427 0.2500
0.8073 0.0573 0.7500
0.9427 0.1927 0.7500
```

## Properties
SG = I4_1/amd (141)
formation energy without anion corrections = 129 meV per atom

Record 12
Compound: InIr2O
Source: Alexandria
Functional: PBE-GGA
Structure: optimized geometry

```
InIr2O
1.0
-2.3704 2.3704 6.5084
2.3704 -2.3704 6.5084
2.3704 2.3704 -6.5084
In Ir O
2 4 2
direct
0.0000 0.0000 0.0000
0.7500 0.2500 0.5000
0.2907 0.6250 0.1657
0.3750 0.5407 0.6657
0.4593 0.1250 0.8343
0.8750 0.7093 0.3343
0.2500 0.7500 0.5000
0.5000 0.5000 0.0000
```

## Properties
SG = I-42d (122)
formation energy without anion corrections = 186 meV per atom
energy above the lowest structure with this stoichiometry = 0 meV/atom

Record 13
Compound: NaCa3Al8
Source: Alexandria
Functional: PBE-GGA
Structure: optimized geometry

```
NaCa3Al8
1.0
2.8282 1.6329 9.2451
-2.8282 1.6329 9.2451
0.0000 -3.2658 9.2451
Na Ca Al
1 3 8
direct
0.0000 0.0000 0.0000
0.1235 0.1235 0.1235
0.5004 0.5004 0.5004
0.6271 0.6271 0.6271
0.0632 0.0632 0.5615
0.0632 0.5615 0.0632
0.0639 0.5627 0.5627
0.3128 0.3128 0.3128
0.5615 0.0632 0.0632
0.5627 0.0639 0.5627
0.5627 0.5627 0.0639
0.8129 0.8129 0.8129
```

## Properties
energy of formation = -0.24 eV per atom
SG = R3m (160)

Record 14
Compound: Sm2UGe4Pt3
Source: Alexandria
Functional: PBE-GGA
Structure: optimized geometry

```
Sm2UGe4Pt3
1.0
4.2654 0.0000 0.0000
0.0000 4.2654 0.0000
0.0000 0.0000 11.5717
Sm U Ge Pt
2 1 4 3
direct
0.0000 0.5000 0.2273
0.5000 0.0000 0.7727
0.0000 0.0000 0.5000
0.0000 0.0000 0.0000
0.0000 0.5000 0.6675
0.5000 0.0000 0.3325
0.5000 0.5000 0.0000
0.0000 0.5000 0.8814
0.5000 0.0000 0.1186
0.5000 0.5000 0.5000
```

## Properties
energy of formation = -0.70 eV per atom
SG = P-4m2 (115)

Record 15
Compound: Y2ThPd9
Source: Alexandria
Functional: PBE-GGA
Structure: optimized geometry

```
Y2ThPd9
1.0
4.1617 0.0000 0.0000
0.0000 4.1617 0.0000
0.0000 0.0000 12.4693
Y Th Pd
2 1 9
direct
0.0000 0.0000 0.1634
0.0000 0.0000 0.8366
0.0000 0.0000 0.5000
0.0000 0.5000 0.0000
0.0000 0.5000 0.3325
0.0000 0.5000 0.6675
0.5000 0.0000 0.0000
0.5000 0.0000 0.3325
0.5000 0.0000 0.6675
0.5000 0.5000 0.1661
0.5000 0.5000 0.5000
0.5000 0.5000 0.8339
```

## Properties
energy of formation = -0.91 eV per atom
SG = P4/mmm (123)

Record 16
Compound: Y4AlAu
Source: Alexandria
Functional: PBE-GGA
Structure: optimized geometry

```
Y4AlAu
1.0
0.0000 4.3521 4.3521
4.3521 0.0000 4.3521
4.3521 4.3521 0.0000
Y Al Au
4 1 1
direct
0.1244 0.1244 0.1244
0.1244 0.1244 0.6268
0.1244 0.6268 0.1244
0.6268 0.1244 0.1244
0.7500 0.7500 0.7500
0.5000 0.5000 0.5000
```

## Properties
energy of formation = 0.35 eV per atom
SG = F-43m (216)
energy above the lowest structure with this stoichiometry = 695 meV/atom

Record 17
Compound: RbTa3Ni4Se12
Source: Alexandria
Functional: PBE-GGA
Structure: optimized geometry

```
RbTa3Ni4Se12
1.0
7.2475 4.1843 2.7217
-7.2475 4.1843 2.7217
0.0000 -8.3686 2.7217
Rb Ta Ni Se
1 3 4 12
direct
0.0000 0.0000 0.0000
0.0000 0.5641 0.4359
0.4359 0.0000 0.5641
0.5641 0.4359 0.0000
0.0653 0.5000 0.9347
0.5000 0.5000 0.5000
0.5000 0.9347 0.0653
0.9347 0.0653 0.5000
0.0925 0.9075 0.5000
0.1624 0.6688 0.7852
0.2148 0.3312 0.8376
0.3312 0.8376 0.2148
0.3442 0.6558 0.5000
0.5000 0.0925 0.9075
0.5000 0.3442 0.6558
0.6558 0.5000 0.3442
0.6688 0.7852 0.1624
0.7852 0.1624 0.6688
0.8376 0.2148 0.3312
0.9075 0.5000 0.0925
```

## Properties
SG = R32 (155)
formation energy without anion corrections = -334 meV per atom

Record 18
Compound: HfHgOs3
Source: Alexandria
Functional: PBE-GGA
Structure: optimized geometry

```
HfHgOs3
1.0
4.8139 0.0000 0.0000
0.0000 4.8139 0.0000
0.0000 0.0000 4.8139
Hf Hg Os
1 1 3
direct
0.0000 0.0000 0.0000
0.5000 0.5000 0.5000
0.0000 0.5000 0.5000
0.5000 0.0000 0.5000
0.5000 0.5000 0.0000
```

## Properties
energy of formation = 2.64 eV per atom
SG = Pm-3m (221)
energy above the lowest structure with this stoichiometry = 354 meV/atom

Record 19
Compound: Li2MgAgI6
Source: Alexandria
Functional: PBE-GGA
Structure: optimized geometry

```
Li2MgAgI6
1.0
7.8942 -9.3033 0.0000
7.8942 9.3033 0.0000
-2.4764 0.0000 6.1615
Li Mg Ag I
4 2 2 12
direct
0.1084 0.3169 0.2833
0.3169 0.1084 0.7833
0.6831 0.8916 0.2167
0.8916 0.6831 0.7167
0.3138 0.6862 0.7500
0.6862 0.3138 0.2500
0.3050 0.6950 0.2500
0.6950 0.3050 0.7500
0.1128 0.6401 0.8682
0.1367 0.1406 0.4749
0.1406 0.1367 0.9749
0.3032 0.4965 0.4153
0.3599 0.8872 0.6318
0.4965 0.3032 0.9153
0.5035 0.6968 0.0847
0.6401 0.1128 0.3682
0.6968 0.5035 0.5847
0.8594 0.8633 0.0251
0.8633 0.8594 0.5251
0.8872 0.3599 0.1318
```

## Properties
SG = C2/c (15)
formation energy without anion corrections = -779 meV per atom

Record 20
Compound: La3Er2ScSe6
Source: Alexandria
Functional: PBE-GGA
Structure: optimized geometry

```
La3Er2ScSe6
1.0
3.5387 -6.1501 0.0000
3.5387 6.1501 0.0000
-2.3720 0.0000 6.9546
La Er Sc Se
3 2 1 6
direct
0.0000 0.0000 0.0000
0.3305 0.6695 0.0000
0.6695 0.3305 0.0000
0.1661 0.8339 0.5000
0.8339 0.1661 0.5000
0.5000 0.5000 0.5000
0.0996 0.4262 0.2774
0.2488 0.2488 0.7257
0.4262 0.0996 0.2774
0.5738 0.9004 0.7226
0.7512 0.7512 0.2743
0.9004 0.5738 0.7226
```

## Properties
SG = C2/m (12)
formation energy without anion corrections = -1831 meV per atom

Calculated E_tot, -8.094 -4.922 -7.373 -1.501 -2.864 -8.097 -8.175 -6.125 -1.403 -3.996 -2.390 -6.168 -3.347 -6.430 -6.497 -5.132 -5.407 -6.146 -2.536 -6.094 eV/atom (same order as the records).